1.
Material: TbSm6Sn4
Method: DFT, GGA-PBE
State: optimized geometry

a = 8.2190 Å, b = 8.2190 Å, c = 8.2190 Å
α = 86.58°, β = 121.99°, γ = 121.99°
Closest atoms and distances in Å follow each position.
Fractional positions:
Tb 0.0000 0.0000 0.0000  4 Sn 3.29
Sm 0.6789 0.1729 0.1729  4 Sn 3.09-3.25
Sm 0.3211 0.4940 0.4940  4 Sn 3.09-3.25
Sm 0.0000 0.8271 0.5060  4 Sn 3.09-3.25
Sm 0.0000 0.5060 0.8271  4 Sn 3.09-3.25
Sm 0.5000 0.5000 0.0000  4 Sn 3.06
Sm 0.5000 0.0000 0.5000  4 Sn 3.06
Sn 0.4547 0.8251 0.8251  6 Sm 3.06-3.25, 1 Tb 3.29
Sn 0.5453 0.3703 0.3703  6 Sm 3.06-3.25, 1 Tb 3.29
Sn 0.0000 0.6297 0.1749  6 Sm 3.06-3.25, 1 Tb 3.29
Sn 0.0000 0.1749 0.6297  6 Sm 3.06-3.25, 1 Tb 3.29

E   -4.804 eV/atom
Total magnetic moment   0.00 Bohr magnetons per cell
Calculated formation energy   -8.14 kcal/mol of atoms


2.
Material: Hg2TeRu
Method: DFT, GGA-PBE
State: optimized geometry

a = 7.1286 Å, b = 7.1286 Å, c = 7.1286 Å
α = 154.47°, β = 141.63°, γ = 46.66°
Closest atoms and distances in Å follow each position.
Fractional positions:
Hg 0.9892 0.9892 0.0000  4 Ru 2.84, 4 Hg 3.15-3.16
Hg 0.3271 0.8271 0.5000  2 Ru 2.89, 4 Hg 3.15-3.16
Ru 0.5123 0.5123 0.0000  2 Te 2.61, 6 Hg 2.84-2.89
Te 0.6714 0.1714 0.5000  2 Ru 2.61

E   -3.051 eV/atom
Uncorrected formation energy   0.2046 eV per atom
Total magnetic moment   0.11 Bohr magnetons per cell


3.
Material: La4YAs
Method: DFT, GGA-PBE
State: optimized geometry

a = 6.5194 Å, b = 6.5194 Å, c = 6.5194 Å
α = 60.00°, β = 60.00°, γ = 60.00°
Closest atoms and distances in Å follow each position.
Fractional positions:
La 0.3764 0.3764 0.3764  6 La 3.22-3.30
La 0.3764 0.8708 0.3764  6 La 3.22-3.30
La 0.3764 0.3764 0.8708  6 La 3.22-3.30
La 0.8708 0.3764 0.3764  6 La 3.22-3.30
Y 0.7500 0.7500 0.7500  12 La 3.82, 4 As 3.99
As 0.0000 0.0000 0.0000  12 La 3.83, 4 Y 3.99

E   -4.927 eV/atom
Total magnetic moment   0.83 Bohr magnetons per cell
Calculated formation energy   4.85 kcal/mol of atoms


4.
Material: Be5Pd6
Method: DFT, GGA-PBE
State: optimized geometry

a = 3.9752 Å, b = 5.6022 Å, c = 6.8469 Å
α = 114.15°, β = 106.83°, γ = 90.00°
Closest atoms and distances in Å follow each position.
Fractional positions:
Be 0.3304 0.8297 0.6600  8 Pd 2.40-2.44
Be 0.6648 0.6646 0.3302  8 Pd 2.42-2.44
Be 0.3352 0.3354 0.6698  8 Pd 2.42-2.44
Be 0.6696 0.1703 0.3400  8 Pd 2.40-2.44
Be 0.0000 0.5000 0.0000  8 Pd 2.42-2.44
Pd 0.1656 0.9176 0.3316  7 Be 2.40-2.44
Pd 0.5001 0.7534 0.0001  6 Be 2.42-2.44
Pd 0.1656 0.4138 0.3314  7 Be 2.40-2.44
Pd 0.4999 0.2466 0.9999  6 Be 2.42-2.44
Pd 0.8344 0.0824 0.6684  7 Be 2.40-2.44
Pd 0.8344 0.5862 0.6686  7 Be 2.40-2.44

E   -5.089 eV/atom
Total magnetic moment   0.00 Bohr magnetons per cell
Calculated formation energy   -12.97 kcal/mol of atoms


5.
Material: Li4CaBe
Method: DFT, GGA-PBE
State: optimized geometry

a = 5.4759 Å, b = 5.4759 Å, c = 5.4759 Å
α = 60.00°, β = 60.00°, γ = 60.00°
Closest atoms and distances in Å follow each position.
Fractional positions:
Be 0.7500 0.7500 0.7500  12 Li 3.20, 4 Ca 3.35
Li 0.3780 0.8659 0.3780  6 Li 2.67-2.80
Li 0.3780 0.3780 0.3780  6 Li 2.67-2.80
Li 0.8659 0.3780 0.3780  6 Li 2.67-2.80
Li 0.3780 0.3780 0.8659  6 Li 2.67-2.80
Ca 0.0000 0.0000 0.0000  12 Li 3.22, 4 Be 3.35

E   -1.984 eV/atom
Total magnetic moment   0.00 Bohr magnetons per cell
Calculated formation energy   5.68 kcal/mol of atoms


6.
Material: RbSbIr
Method: DFT, GGA-PBE
State: optimized geometry

a = 4.2523 Å, b = 4.2523 Å, c = 11.5012 Å
α = 90.00°, β = 90.00°, γ = 90.00°
Closest atoms and distances in Å follow each position.
Fractional positions:
Rb 0.0000 0.5000 0.8119  4 Sb 3.64
Rb 0.5000 0.0000 0.1881  4 Sb 3.64
Sb 0.0000 0.5000 0.3657  4 Ir 2.63
Sb 0.5000 0.0000 0.6343  4 Ir 2.63
Ir 0.0000 0.0000 0.5000  4 Sb 2.63
Ir 0.5000 0.5000 0.5000  4 Sb 2.63

E   -4.894 eV/atom
Uncorrected formation energy   -0.2434 eV per atom
Total magnetic moment   0.00 Bohr magnetons per cell


7.
Material: ScVMo2
Method: DFT, GGA-PBE
State: optimized geometry

a = 3.7633 Å, b = 3.7633 Å, c = 10.2439 Å
α = 79.42°, β = 79.42°, γ = 90.00°
Closest atoms and distances in Å follow each position.
Fractional positions:
V 0.0000 0.0000 0.0000  4 Sc 2.66, 4 Mo 2.80
V 0.7500 0.2500 0.5000  4 Sc 2.66, 4 Mo 2.80
Sc 0.2500 0.7500 0.5000  4 V 2.66, 4 Mo 2.82
Sc 0.5000 0.5000 0.0000  4 V 2.66, 4 Mo 2.82
Mo 0.3750 0.3663 0.7500  4 Mo 2.61-2.71, 2 V 2.80, 2 Sc 2.82
Mo 0.8750 0.8837 0.7500  4 Mo 2.61-2.71, 2 V 2.80, 2 Sc 2.82
Mo 0.1163 0.6250 0.2500  4 Mo 2.61-2.71, 2 V 2.80, 2 Sc 2.82
Mo 0.6337 0.1250 0.2500  4 Mo 2.61-2.71, 2 V 2.80, 2 Sc 2.82

E   -8.538 eV/atom
Polymorph energy (0 for the lowest one)   2.51 eV/f.u.
Total magnetic moment   0.04 Bohr magnetons per cell
Calculated formation energy   17.07 kcal/mol of atoms


8.
Material: BeSiP2
Method: DFT, GGA-PBE
State: optimized geometry

a = 4.1692 Å, b = 4.1692 Å, c = 4.1692 Å
α = 60.00°, β = 60.00°, γ = 60.00°
Closest atoms and distances in Å follow each position.
Fractional positions:
Be 0.0000 0.0000 0.0000  8 P 2.55
Si 0.5000 0.5000 0.5000  8 P 2.55
P 0.7500 0.7500 0.7500  4 Si 2.55, 4 Be 2.55
P 0.2500 0.2500 0.2500  4 Si 2.55, 4 Be 2.55

E   -4.430 eV/atom
Polymorph energy (0 for the lowest one)   3.76 eV/f.u.
Uncorrected formation energy   0.5625 eV per atom
Total magnetic moment   0.00 Bohr magnetons per cell


9.
Material: Tl3Br
Method: DFT, GGA-PBE
State: optimized geometry

a = 6.7965 Å, b = 6.7965 Å, c = 6.7965 Å
α = 146.63°, β = 130.21°, γ = 61.27°
Closest atoms and distances in Å follow each position.
Fractional positions:
Tl 0.9308 0.2581 0.6727  7 Tl 3.42-3.71, 3 Br 3.49-3.61
Tl 0.4146 0.7419 0.6727  7 Tl 3.42-3.71, 3 Br 3.49-3.61
Tl 0.5097 0.5000 0.0097  4 Br 3.32-3.61, 2 Tl 3.42
Br 0.9782 0.0000 0.9782  10 Tl 3.32-3.61

E   -2.489 eV/atom
Polymorph energy (0 for the lowest one)   0.02 eV/f.u.
Uncorrected formation energy   -0.2959 eV per atom
Total magnetic moment   0.00 Bohr magnetons per cell


10.
Material: LiSnH6Ir2
Method: DFT, GGA-PBE
State: optimized geometry

a = 6.5394 Å, b = 6.5394 Å, c = 4.8082 Å
α = 97.75°, β = 97.75°, γ = 104.18°
Closest atoms and distances in Å follow each position.
Fractional positions:
Ir 0.9152 0.6848 0.6451  3 H 1.61-1.76
Ir 0.0848 0.3152 0.3549  3 H 1.61-1.76
Ir 0.6848 0.9152 0.1451  3 H 1.61-1.76
Ir 0.3152 0.0848 0.8549  3 H 1.61-1.76
H 0.7162 0.7242 0.8436  2 Ir 1.76-1.85, 1 H 1.82
H 0.5268 0.2771 0.8651  1 Ir 1.62
H 0.9766 0.4306 0.1238  1 Ir 1.61, 1 H 1.61
H 0.2758 0.2838 0.6564  2 Ir 1.76-1.85, 1 H 1.82
H 0.7229 0.4732 0.6349  1 Ir 1.62
H 0.5694 0.0234 0.3762  1 Ir 1.61, 1 H 1.61
H 0.4732 0.7229 0.1349  1 Ir 1.62
H 0.7242 0.7162 0.3436  2 Ir 1.76-1.85, 1 H 1.82
H 0.0234 0.5694 0.8762  1 Ir 1.61, 1 H 1.61
H 0.2771 0.5268 0.3651  1 Ir 1.62
H 0.4306 0.9766 0.6238  1 Ir 1.61, 1 H 1.61
H 0.2838 0.2758 0.1564  2 Ir 1.76-1.85, 1 H 1.82
Li 0.3329 0.6671 0.7500  2 H 1.90
Li 0.6671 0.3329 0.2500  2 H 1.90
Sn 0.8840 0.1160 0.7500  4 H 2.43-2.65
Sn 0.1160 0.8840 0.2500  4 H 2.43-2.65

E   -4.415 eV/atom
Total magnetic moment   0.00 Bohr magnetons per cell